! ZrOs4Se PBE-GGA relaxed; values from VASP
&SYSTEM
  ibrav = 0, nat = 6, ntyp = 3
/
ATOMIC_SPECIES
Zr 91.22 Zr.upf
Os 190.23 Os.upf
Se 78.96 Se.upf
ATOMIC_POSITIONS angstrom
Zr 0.000 0.000 0.000
Os -6.218 -3.133 -1.475
Os -6.769 -0.646 -2.100
Os -6.958 -1.445 0.391
Os -4.601 -1.205 -0.735
Se -9.205 -2.411 -1.470
CELL_PARAMETERS angstrom
-3.231 -3.852 -1.480
-4.709 -0.480 2.249
-4.333 1.117 -2.728
! Density of states at the Fermi level   7.904 states/eV/f.u.
! E   -9.0335 eV per atom
! V   102 Å³ per cell
! Total magnetic moment   0.0 μB/f.u.
! Formation energy without anion corrections   0.458 eV per atom